VASP calculation (SCAN) on a crystal of RuPt relaxed with PBEsol.

Lattice parameters (Å, degrees): 2.7137 5.1860 6.4805 104.62 90.00 105.17
Closest atoms and distances in Å follow each position.
Fractional positions:
Ru (0.6613, 0.3226, 0.3371)  5 Ru 2.62-2.80, 7 Pt 2.68-2.72
Ru (0.0657, 0.1314, 0.6136)  6 Ru 2.61-2.71, 6 Pt 2.62-2.79
Ru (0.7164, 0.4328, 0.9348)  5 Ru 2.61-2.80, 7 Pt 2.64-2.81
Pt (0.0056, 0.0112, 0.0045)  6 Ru 2.64-2.81, 6 Pt 2.71-2.77
Pt (0.3840, 0.7681, 0.2790)  5 Pt 2.67-2.76, 7 Ru 2.70-2.79
Pt (0.3336, 0.6673, 0.6642)  7 Ru 2.62-2.78, 5 Pt 2.67-2.77

Computed properties:
- raw total energy (eV/atom) = -52.464
- size of the total moment (μB/cell) = 0.000
- D(E_F) (states/eV per cell) = 5.62

---

VASP calculation (SCAN) on a crystal of BaSr4Ta relaxed with PBEsol.

Lattice parameters (Å, degrees): 7.1476 7.1476 7.1476 60.00 60.00 60.00
Closest atoms and distances in Å follow each position.
Fractional positions:
Ba (0.0000, 0.0000, 0.0000)  12 Sr 4.20, 4 Ta 4.38
Sr (0.3765, 0.3765, 0.3765)  6 Sr 3.53-3.62
Sr (0.3765, 0.3765, 0.8705)  6 Sr 3.53-3.62
Sr (0.8705, 0.3765, 0.3765)  6 Sr 3.53-3.62
Sr (0.3765, 0.8705, 0.3765)  6 Sr 3.53-3.62
Ta (0.7500, 0.7500, 0.7500)  12 Sr 4.19, 4 Ba 4.38

Computed properties:
- raw total energy (eV/atom) = -31.570
- size of the total moment (μB/cell) = 4.809
- D(E_F) (states/eV per cell) = 5.01

---

VASP calculation (SCAN) on a crystal of Li2CoO2 relaxed with PBEsol.

Lattice parameters (Å, degrees): 3.0549 3.0642 5.1070 90.06 90.00 119.90
Closest atoms and distances in Å follow each position.
Fractional positions:
Co (0.0000, 0.0000, 0.0000)  6 O 2.14-2.15
O (0.6664, 0.3327, 0.2377)  4 Li 1.87-2.07
O (0.3336, 0.6673, 0.7623)  4 Li 1.87-2.07
Li (0.6663, 0.3326, 0.6431)  4 O 1.87-2.07
Li (0.3337, 0.6674, 0.3569)  4 O 1.87-2.07

Computed properties:
- raw total energy (eV/atom) = -8.486
- size of the total moment (μB/cell) = 1.000
- ΔE_f (raw) (eV per atom) = -1.58

---

VASP calculation (SCAN) on a crystal of Zr2ScFe relaxed with PBEsol.

Lattice parameters (Å, degrees): 3.1879 4.2436 5.7178 90.00 106.34 90.00
Closest atoms and distances in Å follow each position.
Fractional positions:
Fe (0.9951, 0.0000, 0.4883)  3 Zr 2.57-2.78, 2 Sc 2.65
Sc (0.3944, 0.5000, 0.7271)  2 Fe 2.65, 1 Zr 2.81
Zr (0.0035, 0.0000, 0.0029)  2 Fe 2.78-2.94, 2 Zr 3.00, 4 Sc 3.01-3.11
Zr (0.6070, 0.5000, 0.2817)  2 Fe 2.57, 1 Sc 2.81

Computed properties:
- raw total energy (eV/atom) = -23.239
- size of the total moment (μB/cell) = 0.001
- D(E_F) (states/eV per cell) = 4.22

---

VASP calculation (SCAN) on a crystal of TcOsAu relaxed with PBEsol.

Lattice parameters (Å, degrees): 2.6873 2.6873 7.3080 95.72 95.72 117.23
Closest atoms and distances in Å follow each position.
Fractional positions:
Au (0.9990, 0.9990, 0.9980)  6 Au 2.69-2.80, 2 Tc 2.87, 2 Os 2.91
Os (0.6765, 0.6765, 0.3531)  2 Tc 2.54, 6 Os 2.69-2.80
Tc (0.3244, 0.3244, 0.6489)  2 Os 2.54, 6 Tc 2.69-2.80

Computed properties:
- raw total energy (eV/atom) = -58.209
- size of the total moment (μB/cell) = 0.001
- D(E_F) (states/eV per cell) = 2.56

---

VASP calculation (SCAN) on a crystal of K3Ba relaxed with PBEsol.

Lattice parameters (Å, degrees): 4.3305 4.3305 14.1431 90.00 90.00 90.00
Closest atoms and distances in Å follow each position.
Fractional positions:
K (0.5000, 0.5000, 0.2459)  8 K 4.33-4.72, 4 Ba 4.63
K (0.0000, 0.0000, 0.5000)  12 K 4.33-4.72
K (0.5000, 0.5000, 0.7541)  8 K 4.33-4.72, 4 Ba 4.63
Ba (0.0000, 0.0000, 0.0000)  4 Ba 4.33, 8 K 4.63

Computed properties:
- raw total energy (eV/atom) = -16.074
- size of the total moment (μB/cell) = 0.021
- D(E_F) (states/eV per cell) = 3.51

---

VASP calculation (SCAN) on a crystal of CuSbW2 relaxed with PBEsol.

Lattice parameters (Å, degrees): 3.3309 3.3305 5.7755 90.00 90.01 90.00
Closest atoms and distances in Å follow each position.
Fractional positions:
Cu (0.0000, 0.0000, 0.4852)  5 W 2.66-2.71, 4 Sb 2.77
Sb (0.5000, 0.5000, 0.7362)  4 Cu 2.77, 6 W 2.79-2.99
W (0.0000, 0.0000, 0.0246)  1 Cu 2.66, 4 W 2.70, 4 Sb 2.88
W (0.5000, 0.5000, 0.2540)  4 W 2.70, 4 Cu 2.71, 2 Sb 2.79-2.99

Computed properties:
- raw total energy (eV/atom) = -47.559
- size of the total moment (μB/cell) = 0.000
- ΔE_f (raw) (eV per atom) = 0.40
- D(E_F) (states/eV per cell) = 2.43

---

VASP calculation (SCAN) on a crystal of SrMnBr3 relaxed with PBEsol.

Lattice parameters (Å, degrees): 5.1408 5.1408 5.1408 90.00 90.00 90.00
Closest atoms and distances in Å follow each position.
Fractional positions:
Sr (0.5000, 0.5000, 0.5000)  12 Br 3.64
Mn (0.0000, 0.0000, 0.0000)  6 Br 2.57
Br (0.0000, 0.5000, 0.0000)  2 Mn 2.57
Br (0.0000, 0.0000, 0.5000)  2 Mn 2.57
Br (0.5000, 0.0000, 0.0000)  2 Mn 2.57

Computed properties:
- raw total energy (eV/atom) = -21.016
- size of the total moment (μB/cell) = 4.347
- ΔE_f (raw) (eV per atom) = -1.23
- D(E_F) (states/eV per cell) = 2.60

---

VASP calculation (SCAN) on a crystal of Ba4NaGa2B8Cl3O18 relaxed with PBEsol.

Lattice parameters (Å, degrees): 6.8559 12.1166 12.1166 90.00 90.00 90.00
Closest atoms and distances in Å follow each position.
Fractional positions:
Ba (0.6699, 0.7204, 0.0178)  6 O 2.77-2.88
Ba (0.6699, 0.2796, 0.9822)  6 O 2.77-2.88
Ba (0.1699, 0.7796, 0.5178)  6 O 2.77-2.88
Ba (0.1699, 0.2204, 0.4822)  6 O 2.77-2.88
Ba (0.6699, 0.9822, 0.2796)  6 O 2.77-2.88
Ba (0.6699, 0.0178, 0.7204)  6 O 2.77-2.88
Ba (0.1699, 0.5178, 0.7796)  6 O 2.77-2.88
Ba (0.1699, 0.4822, 0.2204)  6 O 2.77-2.88
Na (0.9911, 0.0000, 0.0000)  4 O 2.53, 1 Cl 2.64
Na (0.4911, 0.5000, 0.5000)  4 O 2.53, 1 Cl 2.64
Ga (0.6730, 0.7048, 0.7048)  4 O 1.83-1.84
Ga (0.6730, 0.2952, 0.2952)  4 O 1.83-1.84
Ga (0.1730, 0.7952, 0.2048)  4 O 1.83-1.84
Ga (0.1730, 0.2048, 0.7952)  4 O 1.83-1.84
B (0.2111, 0.7656, 0.9663)  3 O 1.36-1.39
B (0.2111, 0.2344, 0.0337)  3 O 1.36-1.39
B (0.7111, 0.7344, 0.4663)  3 O 1.36-1.39
B (0.7111, 0.2656, 0.5337)  3 O 1.36-1.39
B (0.2111, 0.0337, 0.2344)  3 O 1.36-1.39
B (0.2111, 0.9663, 0.7656)  3 O 1.36-1.39
B (0.7111, 0.4663, 0.7344)  3 O 1.36-1.39
B (0.7111, 0.5337, 0.2656)  3 O 1.36-1.39
B (0.2979, 0.7667, 0.7667)  4 O 1.44-1.49
B (0.2979, 0.2333, 0.2333)  4 O 1.44-1.49
B (0.7979, 0.7333, 0.2667)  4 O 1.44-1.49
B (0.7979, 0.2667, 0.7333)  4 O 1.44-1.49
B (0.9716, 0.8197, 0.8197)  4 O 1.44-1.52
B (0.9716, 0.1803, 0.1803)  4 O 1.44-1.52
B (0.4716, 0.6803, 0.3197)  4 O 1.44-1.52
B (0.4716, 0.3197, 0.6803)  4 O 1.44-1.52
Cl (0.9392, 0.5000, 0.0000)  4 Ba 3.11-3.25, 4 O 3.31-3.40, 2 Cl 3.43
Cl (0.4392, 0.0000, 0.5000)  4 Ba 3.11-3.25, 4 O 3.31-3.40, 2 Cl 3.43
Cl (0.9392, 0.0000, 0.5000)  4 Ba 3.11-3.25, 4 O 3.31-3.40, 2 Cl 3.43
Cl (0.4392, 0.5000, 0.0000)  4 Ba 3.11-3.25, 4 O 3.31-3.40, 2 Cl 3.43
Cl (0.6057, 0.0000, 0.0000)  1 Na 2.64
Cl (0.1057, 0.5000, 0.5000)  1 Na 2.64
O (0.7642, 0.8059, 0.8059)  1 B 1.44
O (0.7642, 0.1941, 0.1941)  1 B 1.44
O (0.2642, 0.6941, 0.3059)  1 B 1.44
O (0.2642, 0.3059, 0.6941)  1 B 1.44
O (0.0243, 0.8011, 0.9405)  2 B 1.39-1.52
O (0.0243, 0.1989, 0.0595)  2 B 1.39-1.52
O (0.5243, 0.6989, 0.4405)  2 B 1.39-1.52
O (0.5243, 0.3011, 0.5595)  2 B 1.39-1.52
O (0.0243, 0.0595, 0.1989)  2 B 1.39-1.52
O (0.0243, 0.9405, 0.8011)  2 B 1.39-1.52
O (0.5243, 0.4405, 0.6989)  2 B 1.39-1.52
O (0.5243, 0.5595, 0.3011)  2 B 1.39-1.52
O (0.4060, 0.6943, 0.6943)  1 B 1.44
O (0.4060, 0.3057, 0.3057)  1 B 1.44
O (0.9060, 0.8057, 0.1943)  1 B 1.44
O (0.9060, 0.1943, 0.8057)  1 B 1.44
O (0.3441, 0.7417, 0.8840)  2 B 1.38-1.49
O (0.3441, 0.2583, 0.1160)  2 B 1.38-1.49
O (0.8441, 0.7583, 0.3840)  2 B 1.38-1.49
O (0.8441, 0.2417, 0.6160)  2 B 1.38-1.49
O (0.3441, 0.1160, 0.2583)  2 B 1.38-1.49
O (0.3441, 0.8840, 0.7417)  2 B 1.38-1.49
O (0.8441, 0.3840, 0.7583)  2 B 1.38-1.49
O (0.8441, 0.6160, 0.2417)  2 B 1.38-1.49
O (0.7780, 0.7444, 0.5714)  1 B 1.36
O (0.7780, 0.2556, 0.4286)  1 B 1.36
O (0.2780, 0.7556, 0.0714)  1 B 1.36
O (0.2780, 0.2444, 0.9286)  1 B 1.36
O (0.7780, 0.4286, 0.2556)  1 B 1.36
O (0.7780, 0.5714, 0.7444)  1 B 1.36
O (0.2780, 0.0714, 0.7556)  1 B 1.36
O (0.2780, 0.9286, 0.2444)  1 B 1.36
O (0.0884, 0.7486, 0.7486)  2 B 1.46-1.47
O (0.0884, 0.2514, 0.2514)  2 B 1.46-1.47
O (0.5884, 0.7514, 0.2486)  2 B 1.46-1.47
O (0.5884, 0.2486, 0.7514)  2 B 1.46-1.47

Computed properties:
- raw total energy (eV/atom) = -13.603
- size of the total moment (μB/cell) = 0.000
- ΔE_f (raw) (eV per atom) = -2.75
- D(E_F) (states/eV per cell) = 0.00

---

VASP calculation (SCAN) on a crystal of K2BeAg relaxed with PBEsol.

Lattice parameters (Å, degrees): 2.9327 4.7487 8.8608 92.65 90.00 107.99
Closest atoms and distances in Å follow each position.
Fractional positions:
Be (0.5000, 0.0000, 0.0000)  2 Be 2.93, 2 K 3.24
K (0.7504, 0.5008, 0.7503)  2 K 2.93, 1 Ag 3.24, 1 Be 3.24
K (0.2496, 0.4992, 0.2497)  2 K 2.93, 1 Ag 3.24, 1 Be 3.24
Ag (0.0000, 0.0000, 0.5000)  2 Ag 2.93, 2 K 3.24

Computed properties:
- raw total energy (eV/atom) = -12.372
- size of the total moment (μB/cell) = 0.000
- D(E_F) (states/eV per cell) = 2.17

---

VASP calculation (SCAN) on a crystal of LiTl2 relaxed with PBEsol.

Lattice parameters (Å, degrees): 3.2147 3.2147 13.6475 96.76 96.76 90.00
Closest atoms and distances in Å follow each position.
Fractional positions:
Tl (0.0732, 0.0732, 0.1464)  4 Li 3.01, 6 Tl 3.21-3.22
Tl (0.1768, 0.6768, 0.3536)  4 Li 3.01, 6 Tl 3.21-3.22
Tl (0.9268, 0.9268, 0.8536)  4 Li 3.01, 6 Tl 3.21-3.22
Tl (0.3232, 0.8232, 0.6464)  4 Li 3.01, 6 Tl 3.21-3.22
Li (0.5000, 0.5000, 0.0000)  8 Tl 3.01, 4 Li 3.21
Li (0.7500, 0.2500, 0.5000)  8 Tl 3.01, 4 Li 3.21

Computed properties:
- raw total energy (eV/atom) = -49.189
- size of the total moment (μB/cell) = 0.000
- D(E_F) (states/eV per cell) = 2.40

---

VASP calculation (SCAN) on a crystal of LiSb2P3O11 relaxed with PBEsol.

Lattice parameters (Å, degrees): 7.3804 7.3804 9.2103 74.26 74.26 76.24
Closest atoms and distances in Å follow each position.
Fractional positions:
Li (0.4802, 0.9599, 0.3135)  3 O 1.99-2.12
Li (0.0401, 0.5198, 0.6865)  3 O 1.99-2.12
Sb (0.8593, 0.3455, 0.1907)  4 O 2.07-2.27
Sb (0.3663, 0.8515, 0.7033)  3 O 2.06-2.12
Sb (0.6545, 0.1407, 0.8093)  4 O 2.07-2.27
Sb (0.1485, 0.6337, 0.2967)  3 O 2.06-2.12
P (0.5457, 0.7144, 0.0285)  4 O 1.51-1.64
P (0.9896, 0.0104, 0.0000)  4 O 1.52-1.56
P (0.7114, 0.5615, 0.5051)  4 O 1.51-1.62
P (0.2856, 0.4543, 0.9715)  4 O 1.51-1.64
P (0.0243, 0.9757, 0.5000)  4 O 1.52-1.57
P (0.4385, 0.2886, 0.4949)  4 O 1.51-1.62
O (0.0283, 0.8726, 0.1494)  1 P 1.52
O (0.8707, 0.9950, 0.6460)  1 P 1.52
O (0.7384, 0.5831, 0.0091)  1 P 1.51
O (0.5400, 0.8906, 0.8881)  1 P 1.57
O (0.4623, 0.7711, 0.1826)  1 P 1.51
O (0.9955, 0.2174, 0.0062)  1 P 1.56
O (0.5804, 0.7550, 0.4782)  1 P 1.52
O (0.3897, 0.6103, 0.0000)  2 P 1.64
O (0.8778, 0.5480, 0.3579)  1 P 1.57
O (0.7811, 0.4995, 0.6532)  1 P 1.51
O (0.2273, 0.9715, 0.5246)  1 P 1.57
O (0.7826, 0.0045, 0.9938)  1 P 1.56
O (0.2289, 0.5377, 0.8174)  1 P 1.51
O (0.1094, 0.4600, 0.1119)  1 P 1.57
O (0.6013, 0.3987, 0.5000)  2 P 1.62
O (0.4169, 0.2616, 0.9909)  1 P 1.51
O (0.0285, 0.7727, 0.4754)  1 P 1.57
O (0.5005, 0.2189, 0.3468)  1 P 1.51
O (0.4520, 0.1222, 0.6421)  1 P 1.57
O (0.2450, 0.4196, 0.5218)  1 P 1.52
O (0.1274, 0.9717, 0.8506)  1 P 1.52
O (0.0050, 0.1293, 0.3540)  1 P 1.52

Computed properties:
- raw total energy (eV/atom) = -12.511
- size of the total moment (μB/cell) = 0.000
- ΔE_f (raw) (eV per atom) = -2.12
- D(E_F) (states/eV per cell) = 0.00